Computed, not measured: a crystal of LiTaCo4 relaxed with PBEsol at the meta-GGA SCAN level of DFT.

a = 6.506 Å, b = 6.506 Å, c = 6.506 Å
α = 90.00°, β = 90.00°, γ = 90.00°
Space group F-43m (No. 216)
One atom of each set of equivalent atoms:
Li: 0.000 0.000 0.000 [4 per cell]
Ta: 0.250 0.250 0.250 [4 per cell]
Co: 0.126 0.126 0.626 [16 per cell]

E_form: 0.0260 eV per atom